(1)
A relaxed Ce4AsIrSe2 crystal, computed with PBE.

Properties
The value obtained for the raw formation energy is -1.41 eV/atom. For the density of states at the Fermi level, the calculation gives 22.653 states/eV/cell. The value obtained for the total DFT energy (no corrections) is -6.94 eV per atom.

Unit cell a=7.3017 b=4.1335 c=7.3253 alpha=90.00 beta=108.61 gamma=90.00
Space group P2/m (No. 10)
One atom of each set of equivalent atoms:
Ce 0.2355 0.0000 0.2316 x2
Ce 0.2436 0.5000 0.7631 x2
As 0.5000 0.0000 0.0000 x1
Ir 0.0000 0.5000 0.0000 x1
Se 0.0000 0.0000 0.5000 x1
Se 0.5000 0.5000 0.5000 x1

(2)
A relaxed CeAsIrSe crystal, computed with PBE.

Properties
The value obtained for the raw formation energy is -0.97 eV/atom. For the density of states at the Fermi level, the calculation gives 7.473 states/eV/cell. The value obtained for the total DFT energy (no corrections) is -6.70 eV per atom.

Unit cell a=4.1627 b=4.1627 c=9.3332 alpha=90.00 beta=90.00 gamma=90.00
Space group P4/nmm (No. 129, origin choice 2)
One atom of each set of equivalent atoms:
Ce 0.2500 0.2500 0.2304 x2
As 0.2500 0.2500 0.6588 x2
Ir 0.2500 0.7500 0.5000 x2
Se 0.2500 0.7500 0.0000 x2